Compound: Ac2TlZn3Ge4
Source: Alexandria
Functional: PBE
Structure: optimized geometry

Results
- E_form: -0.322 eV/atom

abc: 4.7634 4.7634 10.1652
angles: 90.00 90.00 90.00
Positions (direct):
Ac  0.5000  0.0000  0.2323
Ac  0.0000  0.5000  0.7677
Tl  0.5000  0.5000  0.5000
Zn  0.0000  0.0000  0.5000
Zn  0.5000  0.0000  0.8893
Zn  0.0000  0.5000  0.1107
Ge  0.5000  0.5000  0.0000
Ge  0.0000  0.0000  0.0000
Ge  0.5000  0.0000  0.6442
Ge  0.0000  0.5000  0.3558

Compound: ZrHg2Sb
Source: Alexandria
Functional: PBE
Structure: optimized geometry

Results
- Formation energy without anion corrections: 0.004 eV per atom

abc: 8.2314 8.2314 6.5183
angles: 50.85 50.85 90.00
Positions (direct):
Sb  0.0000  0.0000  0.0000
Sb  0.7500  0.2500  0.5000
Hg  0.6219  0.1250  0.2500
Hg  0.1281  0.6250  0.2500
Hg  0.3750  0.3781  0.7500
Hg  0.8750  0.8719  0.7500
Zr  0.5000  0.5000  0.0000
Zr  0.2500  0.7500  0.5000

Compound: CuSb3N
Source: Alexandria
Functional: PBE
Structure: optimized geometry

Results
- Formation energy without anion corrections: 0.724 eV per atom

abc: 4.7002 4.7002 4.7002
angles: 90.00 90.00 90.00
Positions (direct):
Sb  0.0000  0.5000  0.0000
Sb  0.0000  0.0000  0.5000
Sb  0.5000  0.0000  0.0000
Cu  0.5000  0.5000  0.5000
N  0.0000  0.0000  0.0000

Compound: Tb6Ce2SmTm3
Source: Alexandria
Functional: PBE
Structure: optimized geometry

Results
- E_form: 0.052 eV/atom

abc: 6.1299 6.1299 11.7365
angles: 95.00 95.00 120.00
Positions (direct):
Tb  0.9157  0.5799  0.7486
Tb  0.7484  0.7484  0.2514
Tb  0.0843  0.4201  0.2514
Tb  0.5799  0.9157  0.7486
Tb  0.2516  0.2516  0.7486
Tb  0.4201  0.0843  0.2514
Ce  0.3333  0.6667  0.0000
Ce  0.6667  0.3333  0.0000
Sm  0.0000  0.0000  0.0000
Tm  0.1663  0.8337  0.5000
Tm  0.8337  0.1663  0.5000
Tm  0.5000  0.5000  0.5000

Compound: Cd2Ag8Au
Source: Alexandria
Functional: PBE
Structure: optimized geometry

Results
- E_form: -0.038 eV/atom

abc: 4.1470 6.7089 7.8450
angles: 105.83 105.33 90.00
Positions (direct):
Cd  0.8633  0.8193  0.7266
Cd  0.1367  0.1807  0.2734
Ag  0.4101  0.5452  0.8202
Ag  0.6816  0.9054  0.3632
Ag  0.7739  0.3651  0.5478
Ag  0.0461  0.7245  0.0921
Ag  0.2261  0.6349  0.4522
Ag  0.3184  0.0946  0.6368
Ag  0.5899  0.4548  0.1798
Ag  0.9539  0.2755  0.9079
Au  0.5000  0.0000  0.0000

Compound: NdSm2Co
Source: Alexandria
Functional: PBE
Structure: optimized geometry

Results
- E_form: -0.086 eV/atom

abc: 6.4109 7.0641 9.7703
angles: 90.00 90.00 90.00
Positions (direct):
Nd  0.6442  0.5447  0.2500
Nd  0.8558  0.0447  0.2500
Nd  0.3558  0.4553  0.7500
Nd  0.1442  0.9553  0.7500
Sm  0.1761  0.6702  0.0696
Sm  0.3239  0.1702  0.4304
Sm  0.8239  0.3298  0.5696
Sm  0.6761  0.8298  0.9304
Sm  0.8239  0.3298  0.9304
Sm  0.6761  0.8298  0.5696
Sm  0.1761  0.6702  0.4304
Sm  0.3239  0.1702  0.0696
Co  0.0618  0.3849  0.2500
Co  0.4382  0.8849  0.2500
Co  0.9382  0.6151  0.7500
Co  0.5618  0.1151  0.7500

Compound: KSr2Ca
Source: Alexandria
Functional: PBE
Structure: optimized geometry

Results
- E_form: 0.102 eV/atom

abc: 6.6003 4.0870 8.1693
angles: 78.44 90.00 90.00
Positions (direct):
Ca  0.5000  0.2500  0.2500
K  0.5000  0.7500  0.7500
Sr  0.0000  0.9897  0.0129
Sr  0.0000  0.5103  0.4871

Compound: BeAgPd2
Source: Alexandria
Functional: PBE
Structure: optimized geometry

Results
- E_form: -0.265 eV/atom

abc: 2.8967 2.8967 8.0643
angles: 79.65 79.65 60.00
Positions (direct):
Be  0.6665  0.6665  0.0004
Ag  0.5001  0.5001  0.4998
Pd  0.0664  0.0664  0.8007
Pd  0.2670  0.2670  0.1991

Compound: LiDy2Zn
Source: Alexandria
Functional: PBE
Structure: optimized geometry

Results
- E_form: -0.117 eV/atom

abc: 5.0982 5.0982 5.0982
angles: 60.00 60.00 60.00
Positions (direct):
Zn  0.5000  0.5000  0.5000
Li  0.0000  0.0000  0.0000
Dy  0.2500  0.2500  0.2500
Dy  0.7500  0.7500  0.7500

Compound: CdInGeBi
Source: Alexandria
Functional: PBE
Structure: optimized geometry

Results
- E_form: 0.185 eV/atom

abc: 5.2857 5.2857 5.2857
angles: 60.00 60.00 60.00
Positions (direct):
Ge  0.2500  0.2500  0.2500
Cd  0.7500  0.7500  0.7500
Bi  0.5000  0.5000  0.5000
In  0.0000  0.0000  0.0000

Compound: Ca2TaGe3Pt4
Source: Alexandria
Functional: PBE
Structure: optimized geometry

Results
- E_form: -0.744 eV/atom

abc: 4.1680 4.1680 11.1013
angles: 90.00 90.00 90.00
Positions (direct):
Ca  0.5000  0.0000  0.2362
Ca  0.0000  0.5000  0.7638
Ta  0.5000  0.5000  0.5000
Ge  0.0000  0.0000  0.5000
Ge  0.5000  0.0000  0.8637
Ge  0.0000  0.5000  0.1363
Pt  0.5000  0.5000  0.0000
Pt  0.0000  0.0000  0.0000
Pt  0.5000  0.0000  0.6402
Pt  0.0000  0.5000  0.3598

Compound: Sm3Tl2Cd7
Source: Alexandria
Functional: PBE
Structure: optimized geometry

Results
- E_form: -0.185 eV/atom

abc: 6.0474 6.0474 10.3659
angles: 73.04 73.04 60.00
Positions (direct):
Sm  0.0000  0.0000  0.0000
Sm  0.8582  0.8582  0.4253
Sm  0.1418  0.1418  0.5747
Tl  0.6647  0.6647  0.0058
Tl  0.3353  0.3353  0.9942
Cd  0.5000  0.5000  0.5000
Cd  0.9206  0.4076  0.2642
Cd  0.4076  0.9206  0.2642
Cd  0.4076  0.4076  0.2642
Cd  0.0794  0.5924  0.7358
Cd  0.5924  0.5924  0.7358
Cd  0.5924  0.0794  0.7358

Compound: CsNaVSe3
Source: Alexandria
Functional: PBE
Structure: optimized geometry

Results
- Formation energy without anion corrections: -0.967 eV per atom

abc: 7.1064 7.5560 7.8569
angles: 118.74 90.00 90.00
Positions (direct):
Cs  0.7500  0.2415  0.4830
Cs  0.2500  0.7585  0.5170
Na  0.2500  0.4334  0.8669
Na  0.7500  0.5666  0.1331
V  0.2500  0.0565  0.1130
V  0.7500  0.9435  0.8870
Se  0.2500  0.2222  0.4443
Se  0.0000  0.2121  0.0000
Se  0.5000  0.7879  0.0000
Se  0.5000  0.2121  0.0000
Se  0.0000  0.7879  0.0000
Se  0.7500  0.7778  0.5557

Compound: TlHg4W
Source: Alexandria
Functional: PBE
Structure: optimized geometry

Results
- E_form: 0.929 eV/atom

abc: 5.9287 5.9287 5.9287
angles: 60.00 60.00 60.00
Positions (direct):
Tl  0.7500  0.7500  0.7500
Hg  0.8764  0.3745  0.3745
Hg  0.3745  0.3745  0.8764
Hg  0.3745  0.8764  0.3745
Hg  0.3745  0.3745  0.3745
W  0.0000  0.0000  0.0000

Compound: Pm3PrRu
Source: Alexandria
Functional: PBE
Structure: optimized geometry

Results
- E_form: -0.152 eV/atom

abc: 7.4880 7.4880 7.4648
angles: 108.17 111.19 109.19
Positions (direct):
Pm  0.8444  0.0507  0.2962
Pm  0.2455  0.4518  0.2962
Pm  0.7545  0.5482  0.7038
Pm  0.7043  0.4494  0.1537
Pm  0.1556  0.9493  0.7038
Pm  0.2957  0.5506  0.8463
Pr  0.7085  0.0514  0.7599
Pr  0.2915  0.9486  0.2401
Ru  0.6323  0.7484  0.3807
Ru  0.3677  0.2516  0.6193

Compound: TcCO3
Source: Alexandria
Functional: PBE
Structure: optimized geometry

Results
- Formation energy without anion corrections: 0.480 eV per atom

abc: 3.7999 3.7999 3.7999
angles: 90.00 90.00 90.00
Positions (direct):
C  0.5000  0.5000  0.5000
Tc  0.0000  0.0000  0.0000
O  0.0000  0.5000  0.0000
O  0.0000  0.0000  0.5000
O  0.5000  0.0000  0.0000

Compound: Dy2Si4PdPt3
Source: Alexandria
Functional: PBE
Structure: optimized geometry

Results
- Formation energy without anion corrections: -1.070 eV per atom

abc: 4.1978 4.1978 9.8528
angles: 90.00 90.00 90.00
Positions (direct):
Dy  0.5000  0.0000  0.2474
Dy  0.0000  0.5000  0.7526
Si  0.5000  0.5000  0.0000
Si  0.0000  0.0000  0.0000
Si  0.5000  0.0000  0.6333
Si  0.0000  0.5000  0.3667
Pd  0.5000  0.5000  0.5000
Pt  0.0000  0.0000  0.5000
Pt  0.5000  0.0000  0.8759
Pt  0.0000  0.5000  0.1241

Compound: SrS
Source: Alexandria
Functional: PBE
Structure: optimized geometry

Results
- Formation energy without anion corrections: -2.152 eV per atom

abc: 4.2875 4.2875 4.2875
angles: 60.00 60.00 60.00
Positions (direct):
Sr  0.0000  0.0000  0.0000
S  0.5000  0.5000  0.5000

Compound: CrAuBr2
Source: Alexandria
Functional: PBE
Structure: optimized geometry

Results
- Formation energy without anion corrections: 0.000 eV per atom

abc: 3.6124 3.6124 9.6560
angles: 89.48 89.48 56.66
Positions (direct):
Au  0.2500  0.2500  0.2500
Br  0.1106  0.1106  0.9189
Br  0.3894  0.3894  0.5811
Cr  0.7500  0.7500  0.7500

Compound: PuICl6
Source: Alexandria
Functional: PBE
Structure: optimized geometry

Results
- Formation energy without anion corrections: -1.050 eV per atom

abc: 9.6102 9.6102 9.7769
angles: 103.06 105.21 120.22
Positions (direct):
Pu  0.0000  0.0000  0.5000
Pu  0.5000  0.5000  0.5000
I  0.0000  0.5000  0.0000
I  0.5000  0.0000  0.0000
Cl  0.2136  0.6732  0.8869
Cl  0.7864  0.3268  0.1131
Cl  0.8471  0.7285  0.5756
Cl  0.1529  0.2715  0.4244
Cl  0.8281  0.1056  0.5655
Cl  0.1719  0.8944  0.4345
Cl  0.4599  0.7374  0.5655
Cl  0.5401  0.2626  0.4345
Cl  0.7706  0.8216  0.2224
Cl  0.2294  0.1784  0.7776
Cl  0.5992  0.5483  0.7776
Cl  0.4008  0.4517  0.2224

Compound: Li2TeHAu
Source: Alexandria
Functional: PBE
Structure: optimized geometry

Results
- Total energy: -3.200 eV/atom

abc: 4.4358 4.4358 3.9255
angles: 90.00 90.00 90.00
Positions (direct):
H  0.0000  0.0000  0.0000
Te  0.5000  0.5000  0.5000
Au  0.0000  0.0000  0.5000
Li  0.0000  0.5000  0.0000
Li  0.5000  0.0000  0.0000

no.,M_tot (μB per atom)
1,0.00
2,0.00
3,0.00
4,0.16
5,0.00
6,0.00
7,0.00
8,0.00
9,0.00
10,0.00
11,0.00
12,0.00
13,0.17
14,0.65
15,0.00
16,0.36
17,0.00
18,0.00
19,0.97
20,0.38
21,0.00